# Hf2SbAs2

A relaxed Hf2SbAs2 crystal (GGA-PBE, Alexandria via LeMat-Bulk).

## Properties
- SG: No. 127
- Volume: 204.41 Å³/cell
- Formation energy without anion corrections: -0.41 eV/atom

The structure in POSCAR format:
```
Hf2SbAs2
1.0
7.738 0.000 0.000
0.000 7.738 0.000
0.000 0.000 3.414
Sb Hf As
2 4 4
Direct
0.500 0.500 0.000
0.000 0.000 0.000
0.655 0.845 0.500
0.155 0.655 0.500
0.345 0.155 0.500
0.845 0.345 0.500
0.637 0.137 0.000
0.137 0.363 0.000
0.363 0.863 0.000
0.863 0.637 0.000
```